[1]
## SrSb3 (PBE)

Data for crystalline SrSb3 at its relaxed geometry.

Cell lengths 6.926, 6.926, 6.208 Å; angles 90.00, 90.00, 121.23 degrees
Fractional positions:
Sr: 0.647 0.353 0.250
Sr: 0.353 0.647 0.750
Sb: 0.187 0.813 0.250
Sb: 0.813 0.187 0.750
Sb: 0.627 0.842 0.250
Sb: 0.373 0.158 0.750
Sb: 0.842 0.627 0.750
Sb: 0.158 0.373 0.250

Computed properties:
E_form (uncorrected) = -1.45 eV per formula unit
Calculated volume = 31.83 A^3/atom
SG = Cmcm, No. 63


[2]
## Bi2Pb2Au (PBE)

Data for crystalline Bi2Pb2Au at its relaxed geometry.

Cell lengths 7.831, 7.831, 5.190 Å; angles 90.00, 90.00, 90.00 degrees
Fractional positions:
Pb: 0.335 0.835 0.000
Pb: 0.835 0.665 0.000
Pb: 0.665 0.165 0.000
Pb: 0.165 0.335 0.000
Au: 0.000 0.000 0.000
Au: 0.500 0.500 0.000
Bi: 0.140 0.640 0.500
Bi: 0.640 0.860 0.500
Bi: 0.860 0.360 0.500
Bi: 0.360 0.140 0.500

Computed properties:
Calculated volume = 31.83 A^3/atom
Formation energy = 156.0 meV per atom
Offset from the most stable computed form = 0.859 eV per formula unit
SG = P4/mbm, No. 127


[3]
## Be2InCl (PBE)

Data for crystalline Be2InCl at its relaxed geometry.

Cell lengths 4.803, 4.803, 4.803 Å; angles 60.00, 60.00, 60.00 degrees
Fractional positions:
Be: 0.000 0.000 0.000
Be: 0.250 0.250 0.250
Cl: 0.500 0.500 0.500
In: 0.750 0.750 0.750

Computed properties:
E_form (uncorrected) = 3.53 eV per formula unit
Calculated volume = 19.59 A^3/atom
Offset from the most stable computed form = 2.755 eV per formula unit
SG = F-43m, No. 216